1.
{
  "formula": "TcAg2Br8",
  "functional": "PBE",
  "state": "optimized geometry",
  "lattice_angstrom": [[6.4176, -3.8353, 0.0000], [6.4176, 3.8353, 0.0000], [-0.0777, 0.0000, 7.0619]],
  "species": ["Tc", "Ag", "Ag", "Br", "Br", "Br", "Br", "Br", "Br", "Br", "Br"],
  "frac_coords": [[0.0000, 0.0000, 0.0000], [0.1219, 0.1219, 0.4403], [0.8781, 0.8781, 0.5597], [0.1921, 0.1921, 0.0784], [0.1992, 0.7396, 0.2473], [0.2604, 0.8008, 0.7527], [0.2907, 0.2907, 0.6270], [0.7093, 0.7093, 0.3730], [0.7396, 0.1992, 0.2473], [0.8008, 0.2604, 0.7527], [0.8079, 0.8079, 0.9216]],
  "n_ef_per_ev_fu": 9.09,
  "e_tot_ev_per_cell": -31.541,
  "space_group": "C2/m (12)"
}

2.
{
  "formula": "TcAgBr",
  "functional": "PBE",
  "state": "optimized geometry",
  "lattice_angstrom": [[4.5402, 0.0000, 0.0000], [-2.2701, 3.9319, 0.0000], [0.0000, 0.0000, 3.0928]],
  "species": ["Tc", "Ag", "Br"],
  "frac_coords": [[0.0000, 0.0000, 0.0000], [0.3333, 0.6667, 0.5000], [0.6667, 0.3333, 0.0000]],
  "n_ef_per_ev_fu": 2.85,
  "e_tot_ev_per_cell": -12.153,
  "space_group": "P-6m2 (187)"
}

3.
{
  "formula": "Tl2TcAgBr6",
  "functional": "PBE",
  "state": "optimized geometry",
  "lattice_angstrom": [[3.7321, 2.1547, 13.4602], [-3.7321, 2.1547, 13.4602], [0.0000, -4.3094, 13.4602]],
  "species": ["Tl", "Tl", "Tl", "Tl", "Tc", "Tc", "Ag", "Ag", "Br", "Br", "Br", "Br", "Br", "Br", "Br", "Br", "Br", "Br", "Br", "Br"],
  "frac_coords": [[0.1395, 0.1395, 0.1395], [0.3085, 0.3085, 0.3085], [0.6915, 0.6915, 0.6915], [0.8605, 0.8605, 0.8605], [0.0000, 0.0000, 0.0000], [0.5000, 0.5000, 0.5000], [0.4149, 0.4149, 0.4149], [0.5851, 0.5851, 0.5851], [0.1395, 0.6248, 0.6248], [0.1986, 0.1986, 0.7126], [0.1986, 0.7126, 0.1986], [0.2874, 0.8014, 0.8014], [0.3752, 0.3752, 0.8605], [0.3752, 0.8605, 0.3752], [0.6248, 0.1395, 0.6248], [0.6248, 0.6248, 0.1395], [0.7126, 0.1986, 0.1986], [0.8014, 0.2874, 0.8014], [0.8014, 0.8014, 0.2874], [0.8605, 0.3752, 0.3752]],
  "n_ef_per_ev_fu": 5.51,
  "e_tot_ev_per_cell": -65.854,
  "space_group": "R-3m (166)"
}

4.
{
  "formula": "TlTcAgBr6",
  "functional": "PBE",
  "state": "optimized geometry",
  "lattice_angstrom": [[7.1855, 0.0000, 0.0000], [-3.5927, 6.2228, 0.0000], [0.0000, 0.0000, 6.9507]],
  "species": ["Tl", "Tc", "Ag", "Br", "Br", "Br", "Br", "Br", "Br"],
  "frac_coords": [[0.0000, 0.0000, 0.0000], [0.3333, 0.6667, 0.5000], [0.6667, 0.3333, 0.5000], [0.0361, 0.3888, 0.2882], [0.0361, 0.6473, 0.7118], [0.3527, 0.3888, 0.7118], [0.3527, 0.9639, 0.2882], [0.6112, 0.6473, 0.2882], [0.6112, 0.9639, 0.7118]],
  "e_tot_ev_per_cell": -29.898,
  "space_group": "P312 (149)"
}

5.
{
  "formula": "Ag2TeBr",
  "functional": "PBE",
  "state": "optimized geometry",
  "lattice_angstrom": [[3.9666, 0.0000, 0.0000], [0.0000, 6.5305, 0.0000], [0.0000, 0.0000, 8.0985]],
  "species": ["Ag", "Ag", "Ag", "Ag", "Te", "Te", "Br", "Br"],
  "frac_coords": [[0.0000, 0.0000, 0.2486], [0.0000, 0.0000, 0.7514], [0.5000, 0.5000, 0.2486], [0.5000, 0.5000, 0.7514], [0.0000, 0.5000, 0.5000], [0.5000, 0.0000, 0.5000], [0.0000, 0.5000, 0.0000], [0.5000, 0.0000, 0.0000]],
  "n_ef_per_ev_fu": 1.33,
  "e_tot_ev_per_cell": -21.084,
  "space_group": "Cmmm (65)"
}

6.
{
  "formula": "Ag5Te2Br",
  "functional": "PBE",
  "state": "optimized geometry",
  "lattice_angstrom": [[4.8584, 0.0000, 0.0000], [0.0000, 13.9708, 0.0000], [-0.0340, 0.0000, 6.4348]],
  "species": ["Ag", "Ag", "Ag", "Ag", "Ag", "Ag", "Ag", "Ag", "Ag", "Ag", "Te", "Te", "Te", "Te", "Br", "Br"],
  "frac_coords": [[0.0046, 0.2500, 0.0339], [0.0776, 0.0803, 0.6248], [0.0776, 0.4197, 0.6248], [0.2446, 0.0474, 0.0667], [0.2446, 0.4526, 0.0667], [0.7554, 0.5474, 0.9333], [0.7554, 0.9526, 0.9333], [0.9224, 0.5803, 0.3752], [0.9224, 0.9197, 0.3752], [0.9954, 0.7500, 0.9661], [0.2612, 0.6047, 0.7400], [0.2612, 0.8953, 0.7400], [0.7388, 0.1047, 0.2600], [0.7388, 0.3953, 0.2600], [0.3340, 0.2500, 0.7046], [0.6660, 0.7500, 0.2954]],
  "n_ef_per_ev_fu": 0.36,
  "e_tot_ev_per_cell": -45.949,
  "space_group": "P2_1/m (11)"
}